[1]
Here is an optimized crystal structure of LiIr3Se5 from OQMD. Energies are from PBE-GGA.

## Properties
* M_tot: 0.00 μB per cell
* raw total energy: -0.1884 hartree per atom

Structure (CIF):
```
data_LiIr3Se5
_cell_length_a 5.857
_cell_length_b 5.857
_cell_length_c 6.945
_cell_angle_alpha 90.00
_cell_angle_beta 90.00
_cell_angle_gamma 120.00
_symmetry_space_group_name_H-M 'P 1'
_symmetry_Int_Tables_number 1
loop_
_symmetry_equiv_pos_as_xyz
'x,y,z'
loop_
_atom_site_label
_atom_site_type_symbol
_atom_site_fract_x
_atom_site_fract_y
_atom_site_fract_z
_atom_site_occupancy
Ir1 Ir 0.500 0.000 0.500 1
Ir2 Ir 0.000 0.500 0.500 1
Ir3 Ir 0.500 0.500 0.500 1
Li1 Li 0.000 0.000 0.000 1
Se1 Se 0.667 0.333 0.237 1
Se2 Se 0.333 0.667 0.237 1
Se3 Se 0.000 0.000 0.500 1
Se4 Se 0.667 0.333 0.763 1
Se5 Se 0.333 0.667 0.763 1
```

***

[2]
Here is an optimized crystal structure of LiIrSe2 from OQMD. Energies are from PBE-GGA.

## Properties
* M_tot: 0.01 μB per cell
* raw total energy: -0.1767 hartree per atom

Structure (CIF):
```
data_LiIrSe2
_cell_length_a 6.456
_cell_length_b 10.237
_cell_length_c 4.872
_cell_angle_alpha 90.00
_cell_angle_beta 90.00
_cell_angle_gamma 90.00
_symmetry_space_group_name_H-M 'P 1'
_symmetry_Int_Tables_number 1
loop_
_symmetry_equiv_pos_as_xyz
'x,y,z'
loop_
_atom_site_label
_atom_site_type_symbol
_atom_site_fract_x
_atom_site_fract_y
_atom_site_fract_z
_atom_site_occupancy
Ir1 Ir 0.156 0.110 0.060 1
Ir2 Ir 0.656 0.390 0.060 1
Ir3 Ir 0.344 0.610 0.560 1
Ir4 Ir 0.844 0.890 0.560 1
Li1 Li 0.045 0.598 0.062 1
Li2 Li 0.545 0.902 0.062 1
Li3 Li 0.455 0.098 0.562 1
Li4 Li 0.955 0.402 0.562 1
Se1 Se 0.461 0.594 0.060 1
Se2 Se 0.961 0.906 0.060 1
Se3 Se 0.521 0.165 0.061 1
Se4 Se 0.021 0.335 0.061 1
Se5 Se 0.039 0.094 0.560 1
Se6 Se 0.539 0.406 0.560 1
Se7 Se 0.979 0.665 0.561 1
Se8 Se 0.479 0.835 0.561 1
```